Computed, not measured: crystalline Ba6Cd5Ag at its relaxed geometry at the GGA-PBE level of DFT.

Calculated values
* E_form: -303 meV per atom
* D(E_F): 0.91 states/eV/atom
* raw total energy: -1.88 eV per atom
* crystal system: monoclinic
* spin magnetization: 0.0 μB per formula unit

a b c (Å): 6.0193 8.4005 9.5258
angles (deg): 90.02 71.58 90.05
Fractional coordinates of all 12 atoms:
1 Ba 0.4999 0.7548 0.0000
2 Ba 0.1638 0.2487 0.6724
3 Ba 0.8362 0.7513 0.3276
4 Ba 0.5001 0.2452 0.0000
5 Ba 0.1638 0.7513 0.6724
6 Ba 0.8362 0.2487 0.3276
7 Ag 0.0000 0.0000 0.0000
8 Cd 0.6665 0.5000 0.6670
9 Cd 0.3272 0.0000 0.3457
10 Cd 0.3335 0.5000 0.3330
11 Cd 0.6728 0.0000 0.6543
12 Cd 0.0000 0.5000 0.0000